(1)
! Pr9NdCd2, optimized geometry, DFT PBE; values from VASP
! - Spin magnetization: 0.00 μB per formula unit
! - D(E_F): 1.41 states/eV/atom
! - ΔH_f (0 K): -0.06 eV per atom
! - Crystal system: tetragonal
! - Symmetry: P4/mmm, No. 123
&SYSTEM
  ibrav = 0, nat = 12, ntyp = 3
/
ATOMIC_SPECIES
Pr 140.91 Pr.upf
Cd 112.41 Cd.upf
Nd 144.24 Nd.upf
CELL_PARAMETERS angstrom
5.080 0.000 0.000
0.000 5.080 0.000
0.000 0.000 15.404
ATOMIC_POSITIONS angstrom
Pr 2.540 0.000 12.723
Pr 2.540 2.540 5.193
Cd 0.000 0.000 5.238
Pr 0.000 2.540 12.723
Pr 0.000 2.540 2.681
Pr 0.000 2.540 7.702
Nd 0.000 0.000 0.000
Pr 2.540 0.000 7.702
Cd 0.000 0.000 10.166
Pr 2.540 2.540 10.211
Pr 2.540 2.540 0.000
Pr 2.540 0.000 2.681

(2)
! Pr4NdCd3, optimized geometry, DFT PBE; values from VASP
! - Spin magnetization: 0.01 μB per formula unit
! - D(E_F): 1.29 states/eV/atom
! - ΔH_f (0 K): -0.18 eV per atom
! - Crystal system: trigonal
! - Symmetry: R-3m, No. 166
&SYSTEM
  ibrav = 0, nat = 8, ntyp = 3
/
ATOMIC_SPECIES
Nd 144.24 Nd.upf
Cd 112.41 Cd.upf
Pr 140.91 Pr.upf
CELL_PARAMETERS angstrom
-0.627 -1.054 5.398
-5.030 -1.079 2.043
-0.605 -9.730 0.867
ATOMIC_POSITIONS angstrom
Nd 0.000 0.000 0.000
Cd -4.669 -9.094 6.196
Pr -5.159 -5.642 6.813
Pr -1.103 -6.222 1.495
Cd -1.593 -2.770 2.112
Cd -3.131 -5.932 4.154
Pr -3.581 -2.764 4.721
Pr -2.681 -9.100 3.587